# PBE ErZr, optimized geometry
data_ErZr
_chemical_formula_sum 'Er4 Zr4'
_cell_length_a 5.8637
_cell_length_b 5.3393
_cell_length_c 6.7615
_cell_angle_alpha 90.00
_cell_angle_beta 90.00
_cell_angle_gamma 90.00
_symmetry_space_group_name_H-M 'P 1'
_symmetry_Int_Tables_number 1
loop_
_symmetry_equiv_pos_as_xyz
'x,y,z'
loop_
_atom_site_label
_atom_site_fract_x
_atom_site_fract_y
_atom_site_fract_z
_atom_site_occupancy
Er1 0.0887 0.2500 0.1249 1
Er2 0.4113 0.7500 0.6249 1
Er3 0.5887 0.2500 0.3751 1
Er4 0.9113 0.7500 0.8751 1
Zr1 0.0728 0.2500 0.6236 1
Zr2 0.4272 0.7500 0.1236 1
Zr3 0.5728 0.2500 0.8764 1
Zr4 0.9272 0.7500 0.3764 1
# - Energy relative to the elements: 0.056 eV/atom
# - Space group: Pnma, No. 62
# - E_tot: -6.50 eV per atom